NpCo2RhO6 | GGA+U | optimized geometry

a = 5.3243 Å, b = 5.3239 Å, c = 5.7119 Å
α = 62.20°, β = 62.21°, γ = 59.99°
Closest atoms and distances in Å follow each position.
Element x y z (fractional)
Np (0.8195, 0.8195, 0.5416)  6 O 2.15
Co (0.5217, 0.5216, 0.4351)  6 O 2.06-2.27
Co (0.0267, 0.0267, 0.9198)  3 O 2.01
Rh (0.3217, 0.3217, 0.0350)  6 O 2.06-2.09
O (0.5938, 0.2199, 0.2610)  1 Co 2.06, 1 Rh 2.09, 1 Np 2.15
O (0.2198, 0.9254, 0.2613)  1 Co 2.06, 1 Rh 2.09, 1 Np 2.15
O (0.9254, 0.5938, 0.2611)  1 Co 2.06, 1 Rh 2.09, 1 Np 2.15
O (0.4137, 0.7115, 0.7667)  1 Co 2.01, 1 Rh 2.06, 1 Np 2.15
O (0.7114, 0.1080, 0.7667)  1 Co 2.01, 1 Rh 2.06, 1 Np 2.15
O (0.1080, 0.4137, 0.7669)  1 Co 2.01, 1 Rh 2.06, 1 Np 2.15

Calculated values
calculated density: 7.783 Mg/m³
E_tot: -75.85 eV/f.u.
calculated volume: 11.82 Å³ per atom
DOS(E_F): 4.63 states/eV/f.u.
space-group type: R3, No. 146
total magnetization: 4.00 Bohr magnetons per cell